Arrangement A

A relaxed structure of Mo2AsIr. Source: the Alexandria database, functional PBE.

Lattice parameters (Å, degrees): 3.164 4.332 4.511 90.00 90.00 90.00
Atoms (fractional coordinates):
1 Mo 0.000 0.000 0.000
2 Mo 0.500 0.500 0.000
3 Ir 0.000 0.500 0.500
4 As 0.500 0.000 0.500

Calculated values
DOS at the Fermi energy (states/eV per atom): 0.7699
Space group: Pmmm (47)


Arrangement B

A relaxed structure of Mo2AsIr. Source: the Alexandria database, functional PBE.

Lattice parameters (Å, degrees): 2.892 3.946 5.485 90.00 90.00 90.00
Atoms (fractional coordinates):
1 Mo 0.500 0.500 0.281
2 Mo 0.000 0.000 0.965
3 Ir 0.500 0.500 0.774
4 As 0.000 0.000 0.479

Calculated values
DOS at the Fermi energy (states/eV per atom): 0.9332
Space group: Pmm2 (25)


Arrangement C

A relaxed structure of Mo2AsIr. Source: the Alexandria database, functional PBE.

Lattice parameters (Å, degrees): 4.890 4.890 4.543 82.92 82.92 35.27
Atoms (fractional coordinates):
1 Mo 0.509 0.509 0.488
2 Mo 0.991 0.991 0.012
3 As 0.750 0.750 0.750
4 Ir 0.250 0.250 0.250

Calculated values
DOS at the Fermi energy (states/eV per atom): 0.6602
Space group: C2/m (12)


On energetic grounds, arrangement C is preferred over the next structure by 0.016 eV/atom.


Arrangement A

A relaxed structure of Mo2AsIr. Source: the Alexandria database, functional PBE.

Lattice parameters (Å, degrees): 5.788 5.788 6.763 64.67 64.67 90.00
Atoms (fractional coordinates):
1 Mo 0.375 0.367 0.750
2 Mo 0.633 0.125 0.250
3 Mo 0.875 0.883 0.750
4 Mo 0.117 0.625 0.250
5 As 0.500 0.500 0.000
6 As 0.250 0.750 0.500
7 Ir 0.000 0.000 0.000
8 Ir 0.750 0.250 0.500

Calculated values
DOS at the Fermi energy (states/eV per atom): 1.1551
Space group: I-42d (122)


Arrangement B

A relaxed structure of Mo2AsIr. Source: the Alexandria database, functional PBE.

Lattice parameters (Å, degrees): 8.954 8.954 8.954 18.27 18.27 18.27
Atoms (fractional coordinates):
1 Mo 0.000 0.000 0.000
2 Mo 0.500 0.500 0.500
3 As 0.250 0.250 0.250
4 Ir 0.750 0.750 0.750

Calculated values
DOS at the Fermi energy (states/eV per atom): 0.9788
Space group: R-3m (166)


Arrangement C

A relaxed structure of Mo2AsIr. Source: the Alexandria database, functional PBE.

Lattice parameters (Å, degrees): 4.436 4.436 4.436 60.00 60.00 60.00
Atoms (fractional coordinates):
1 As 0.000 0.000 0.000
2 Mo 0.750 0.750 0.750
3 Mo 0.250 0.250 0.250
4 Ir 0.500 0.500 0.500

Calculated values
DOS at the Fermi energy (states/eV per atom): 1.1463
Space group: Fm-3m (225)


Arrangement D

A relaxed structure of Mo2AsIr. Source: the Alexandria database, functional PBE.

Lattice parameters (Å, degrees): 4.939 4.939 4.939 134.04 134.04 67.03
Atoms (fractional coordinates):
1 Mo 0.250 0.750 0.500
2 Mo 0.000 0.000 0.000
3 Ir 0.750 0.250 0.500
4 As 0.500 0.500 0.000

Calculated values
DOS at the Fermi energy (states/eV per atom): 1.0646
Space group: I-4m2 (119)


On energetic grounds, arrangement B is preferred over the next structure by 0.034 eV/atom.


Arrangement A

A relaxed structure of MoAsIr. Source: the Alexandria database, functional PBE.

Lattice parameters (Å, degrees): 2.870 2.870 6.057 89.99 89.99 90.01
Atoms (fractional coordinates):
1 Ir 0.541 0.946 0.766
2 Mo 0.041 0.446 0.043
3 As 0.548 0.945 0.353

Calculated values
DOS at the Fermi energy (states/eV per atom): 0.5445
Space group: Pm (6)


Arrangement B

A relaxed structure of MoAsIr. Source: the Alexandria database, functional PBE.

Lattice parameters (Å, degrees): 3.095 3.409 5.548 73.70 73.79 62.92
Atoms (fractional coordinates):
1 Mo 0.814 0.096 0.080
2 Ir 0.590 0.930 0.692
3 As 0.390 0.634 0.390

Calculated values
DOS at the Fermi energy (states/eV per atom): 0.4657
Space group: Cm (8)


Arrangement C

A relaxed structure of MoAsIr. Source: the Alexandria database, functional PBE.

Lattice parameters (Å, degrees): 2.901 2.901 6.579 90.00 90.00 120.00
Atoms (fractional coordinates):
1 Mo 0.333 0.667 0.060
2 Ir 0.000 0.000 0.740
3 As 0.000 0.000 0.362

Calculated values
DOS at the Fermi energy (states/eV per atom): 0.6934
Space group: P3m1 (156)


Arrangement D

A relaxed structure of MoAsIr. Source: the Alexandria database, functional PBE.

Lattice parameters (Å, degrees): 5.842 5.842 2.935 75.45 75.45 29.10
Atoms (fractional coordinates):
1 Mo 0.673 0.673 0.327
2 Ir 0.324 0.324 0.676
3 As 0.003 0.003 0.997

Calculated values
DOS at the Fermi energy (states/eV per atom): 0.3131
Space group: I4mm (107)


On energetic grounds, arrangement A is preferred over the next structure by 0.069 eV/atom.


Arrangement A

A relaxed structure of MoAsIr. Source: the Alexandria database, functional PBE.

Lattice parameters (Å, degrees): 2.869 2.840 6.027 90.00 90.00 90.00
Atoms (fractional coordinates):
1 As 0.000 0.500 0.611
2 Mo 0.500 0.500 0.968
3 Ir 0.000 0.000 0.258

Calculated values
DOS at the Fermi energy (states/eV per atom): 0.3377
Space group: Pmm2 (25)


Arrangement B

A relaxed structure of MoAsIr. Source: the Alexandria database, functional PBE.

Lattice parameters (Å, degrees): 2.883 2.883 6.454 90.00 90.00 120.00
Atoms (fractional coordinates):
1 Ir 0.667 0.333 0.276
2 Mo 0.000 0.000 0.949
3 As 0.333 0.667 0.613

Calculated values
DOS at the Fermi energy (states/eV per atom): 0.6878
Space group: P3m1 (156)


Arrangement C

A relaxed structure of MoAsIr. Source: the Alexandria database, functional PBE.

Lattice parameters (Å, degrees): 2.895 2.895 19.194 90.00 90.00 120.00
Atoms (fractional coordinates):
1 As 0.000 0.000 0.476
2 As 0.333 0.667 0.142
3 As 0.667 0.333 0.809
4 Mo 0.333 0.667 0.365
5 Mo 0.667 0.333 0.032
6 Mo 0.000 0.000 0.698
7 Ir 0.000 0.000 0.255
8 Ir 0.333 0.667 0.922
9 Ir 0.667 0.333 0.589

Calculated values
DOS at the Fermi energy (states/eV per atom): 0.5146
Space group: R3m (160)


Arrangement D

A relaxed structure of MoAsIr. Source: the Alexandria database, functional PBE.

Lattice parameters (Å, degrees): 6.832 2.887 5.009 90.00 104.20 90.00
Atoms (fractional coordinates):
1 As 0.635 0.500 0.774
2 As 0.635 0.000 0.274
3 Ir 0.261 0.000 0.149
4 Ir 0.261 0.500 0.649
5 Mo 0.942 0.000 0.708
6 Mo 0.942 0.500 0.208

Calculated values
DOS at the Fermi energy (states/eV per atom): 0.7751
Space group: Cm (8)


On energetic grounds, arrangement A is preferred over the next structure by 0.124 eV/atom.


Arrangement A

A relaxed structure of MoAsIr. Source: the Alexandria database, functional PBE.

Lattice parameters (Å, degrees): 4.707 4.707 4.707 144.59 129.28 63.37
Atoms (fractional coordinates):
1 As 0.000 0.000 0.000
2 Mo 0.674 0.674 0.000
3 Ir 0.327 0.327 0.000

Calculated values
DOS at the Fermi energy (states/eV per atom): 0.6656
Space group: Imm2 (44)


Arrangement B

A relaxed structure of MoAsIr. Source: the Alexandria database, functional PBE.

Lattice parameters (Å, degrees): 4.235 4.235 4.235 60.00 60.00 60.00
Atoms (fractional coordinates):
1 As 0.500 0.500 0.500
2 Mo 0.000 0.000 0.000
3 Ir 0.750 0.750 0.750

Calculated values
DOS at the Fermi energy (states/eV per atom): 1.1073
Space group: F-43m (216)


On energetic grounds, arrangement A is preferred over the next structure by 0.013 eV/atom.


Arrangement A

A relaxed structure of MoAsIr. Source: the Alexandria database, functional PBE.

Lattice parameters (Å, degrees): 5.069 2.873 7.877 90.00 120.44 90.00
Atoms (fractional coordinates):
1 As 0.586 0.000 0.351
2 As 0.586 0.500 0.851
3 Mo 0.962 0.500 0.654
4 Mo 0.962 0.000 0.154
5 Ir 0.290 0.000 0.979
6 Ir 0.290 0.500 0.479

Calculated values
DOS at the Fermi energy (states/eV per atom): 0.4609
Space group: Cm (8)


Arrangement B

A relaxed structure of MoAsIr. Source: the Alexandria database, functional PBE.

Lattice parameters (Å, degrees): 2.823 4.566 7.149 90.00 90.00 90.00
Atoms (fractional coordinates):
1 As 0.500 0.000 0.648
2 As 0.500 0.500 0.148
3 Ir 0.500 0.000 0.984
4 Ir 0.500 0.500 0.484
5 Mo 0.000 0.000 0.336
6 Mo 0.000 0.500 0.836

Calculated values
DOS at the Fermi energy (states/eV per atom): 1.1467
Space group: Amm2 (38)


On energetic grounds, arrangement B is preferred over the next structure by 0.063 eV/atom.


Arrangement A

A relaxed structure of MoAs2IrSe. Source: the Alexandria database, functional PBE.

Lattice parameters (Å, degrees): 4.688 4.688 5.236 90.00 90.00 90.00
Last column: magnetic moment on the atom in μB.
Atoms (fractional coordinates):
1 As 0.000 0.500 0.000  -0.13
2 As 0.500 0.000 0.000  -0.13
3 Mo 0.500 0.500 0.500  3.26
4 Se 0.000 0.000 0.500  -0.15
5 Ir 0.000 0.000 0.000  -0.01

Calculated values
DOS at the Fermi energy (states/eV per atom): 0.6860
Space group: P4/mmm (123)


Arrangement B

A relaxed structure of MoAs2IrSe. Source: the Alexandria database, functional PBE.

Lattice parameters (Å, degrees): 4.818 4.818 4.753 90.00 90.00 90.00
Atoms (fractional coordinates):
1 As 0.000 0.500 0.000
2 As 0.500 0.000 0.000
3 Ir 0.500 0.500 0.500
4 Se 0.000 0.000 0.500
5 Mo 0.000 0.000 0.000

Calculated values
DOS at the Fermi energy (states/eV per atom): 0.9364
Space group: P4/mmm (123)


On energetic grounds, arrangement A is preferred over the next structure by 0.059 eV/atom.


Arrangement A

A relaxed structure of As2IrSeN. Source: the Alexandria database, functional PBE.

Lattice parameters (Å, degrees): 4.673 4.673 5.165 90.00 90.00 90.00
Atoms (fractional coordinates):
1 As 0.500 0.000 0.000
2 As 0.000 0.500 0.000
3 Se 0.000 0.000 0.500
4 N 0.500 0.500 0.500
5 Ir 0.000 0.000 0.000

Calculated values
DOS at the Fermi energy (states/eV per atom): 1.4607
Space group: P4/mmm (123)


Arrangement B

A relaxed structure of As2IrSeN. Source: the Alexandria database, functional PBE.

Lattice parameters (Å, degrees): 4.228 4.228 4.299 90.00 90.00 90.00
Atoms (fractional coordinates):
1 As 0.500 0.000 0.000
2 As 0.000 0.500 0.000
3 Ir 0.500 0.500 0.500
4 N 0.000 0.000 0.000
5 Se 0.000 0.000 0.500

Calculated values
DOS at the Fermi energy (states/eV per atom): 0.3459
Space group: P4/mmm (123)


On energetic grounds, arrangement B is preferred over the next structure by 0.782 eV/atom.


Arrangement A

A relaxed structure of Sr2AsIrN. Source: the Alexandria database, functional PBE.

Lattice parameters (Å, degrees): 5.590 5.590 3.729 90.00 90.00 90.00
Atoms (fractional coordinates):
1 Ir 0.000 0.000 0.500
2 Sr 0.500 0.000 0.000
3 Sr 0.000 0.500 0.000
4 N 0.000 0.000 0.000
5 As 0.500 0.500 0.500

Calculated values
DOS at the Fermi energy (states/eV per atom): 0.7754
Space group: P4/mmm (123)


Arrangement B

A relaxed structure of Sr2AsIrN. Source: the Alexandria database, functional PBE.

Lattice parameters (Å, degrees): 4.038 6.709 9.172 110.82 90.00 90.00
Atoms (fractional coordinates):
1 As 0.250 0.706 0.296
2 As 0.750 0.294 0.704
3 Sr 0.250 0.218 0.970
4 Sr 0.750 0.789 0.617
5 Sr 0.250 0.211 0.383
6 Sr 0.750 0.782 0.030
7 Ir 0.250 0.510 0.745
8 Ir 0.750 0.490 0.255
9 N 0.250 0.814 0.831
10 N 0.750 0.186 0.169

Calculated values
DOS at the Fermi energy (states/eV per atom): 0.8364
Space group: P2_1/m (11)


On energetic grounds, arrangement A is preferred over the next structure by 0.020 eV/atom.


Arrangement A

A relaxed structure of Te2AsIrN. Source: the Alexandria database, functional PBE.

Lattice parameters (Å, degrees): 5.475 5.475 3.677 90.00 90.00 90.00
Atoms (fractional coordinates):
1 Te 0.500 0.000 0.000
2 Te 0.000 0.500 0.000
3 Ir 0.000 0.000 0.000
4 N 0.000 0.000 0.500
5 As 0.500 0.500 0.500

Calculated values
DOS at the Fermi energy (states/eV per atom): 0.9419
Space group: P4/mmm (123)


Arrangement B

A relaxed structure of Te2AsIrN. Source: the Alexandria database, functional PBE.

Lattice parameters (Å, degrees): 5.396 5.396 3.487 90.00 90.00 90.00
Atoms (fractional coordinates):
1 As 0.000 0.000 0.000
2 Te 0.000 0.500 0.000
3 Te 0.500 0.000 0.000
4 N 0.000 0.000 0.500
5 Ir 0.500 0.500 0.500

Calculated values
DOS at the Fermi energy (states/eV per atom): 0.7051
Space group: P4/mmm (123)


On energetic grounds, arrangement A is preferred over the next structure by 0.733 eV/atom.


Arrangement A

A relaxed structure of NaAsIr3. Source: the Alexandria database, functional PBE.

Lattice parameters (Å, degrees): 4.617 4.617 4.617 90.00 90.00 90.00
Atoms (fractional coordinates):
1 Ir 0.000 0.500 0.000
2 Ir 0.500 0.000 0.000
3 Ir 0.000 0.000 0.500
4 As 0.000 0.000 0.000
5 Na 0.500 0.500 0.500

Calculated values
DOS at the Fermi energy (states/eV per atom): 1.4022
Space group: Pm-3m (221)


Arrangement B

A relaxed structure of NaAsIr3. Source: the Alexandria database, functional PBE.

Lattice parameters (Å, degrees): 4.509 4.509 4.509 90.00 90.00 90.00
Atoms (fractional coordinates):
1 Ir 0.000 0.500 0.000
2 Ir 0.500 0.000 0.000
3 Ir 0.000 0.000 0.500
4 Na 0.000 0.000 0.000
5 As 0.500 0.500 0.500

Calculated values
DOS at the Fermi energy (states/eV per atom): 0.6383
Space group: Pm-3m (221)


On energetic grounds, arrangement A is preferred over the next structure by 1.438 eV/atom.